[1]
Entry from the Alexandria database: a relaxed structure of TbNd7Sm2 (PBE-GGA).

Lattice parameters (Å, degrees): 9.551 9.551 5.546 90.00 90.00 125.04
Element x y z (fractional)
Tb  0.000  0.000  0.000
Nd  0.069  0.291  0.500
Nd  0.214  0.786  0.000
Nd  0.291  0.069  0.500
Nd  0.500  0.500  0.500
Nd  0.709  0.931  0.500
Nd  0.786  0.214  0.000
Nd  0.931  0.709  0.500
Sm  0.295  0.705  0.500
Sm  0.705  0.295  0.500

## Properties
total magnetic moment	0.00	Bohr magnetons per cell
energy of formation from the pure elements	6.28	eV/f.u.
symmetry	Cmmm, No. 65
offset from the most stable computed form	257	meV per atom

[2]
Entry from the Alexandria database: a relaxed structure of Tb2Nd2Sm5 (PBE-GGA).

Lattice parameters (Å, degrees): 9.903 9.903 8.973 98.69 98.69 20.66
Element x y z (fractional)
Tb  0.176  0.176  0.017
Tb  0.824  0.824  0.983
Nd  0.431  0.431  0.308
Nd  0.569  0.569  0.692
Sm  0.000  0.000  0.000
Sm  0.100  0.100  0.356
Sm  0.234  0.234  0.667
Sm  0.766  0.766  0.333
Sm  0.900  0.900  0.644

## Properties
total magnetic moment	0.00	Bohr magnetons per cell
energy of formation from the pure elements	0.89	eV/f.u.
symmetry	C2/m, No. 12
offset from the most stable computed form	0	meV per atom

[3]
Entry from the Alexandria database: a relaxed structure of Tb7Nd2Sm3 (PBE-GGA).

Lattice parameters (Å, degrees): 5.864 3.603 18.941 90.00 93.26 90.00
Element x y z (fractional)
Tb  0.000  0.000  0.000
Tb  0.187  0.500  0.174
Tb  0.257  0.500  0.538
Tb  0.314  0.000  0.858
Tb  0.686  0.000  0.142
Tb  0.743  0.500  0.462
Tb  0.813  0.500  0.826
Nd  0.291  0.500  0.707
Nd  0.709  0.500  0.293
Sm  0.221  0.000  0.369
Sm  0.500  0.500  0.000
Sm  0.779  0.000  0.631

## Properties
total magnetic moment	0.00	Bohr magnetons per cell
energy of formation from the pure elements	1.00	eV/f.u.
symmetry	P2/m, No. 10
offset from the most stable computed form	6	meV per atom

What is the energy of formation from the pure elements in the first record? 6.28 eV/f.u.